Record 1
This record from Alexandria describes crystalline PuAg3Hg3 at its relaxed geometry. The functional is PBE.

Lattice parameters (Å, degrees): 7.649 7.649 7.649 90.00 90.00 90.00
Fractional coordinates of all 14 atoms:
1 Pu 0.000 0.000 0.000
2 Pu 0.500 0.500 0.500
3 Ag 0.000 0.250 0.500
4 Ag 0.000 0.750 0.500
5 Ag 0.250 0.500 0.000
6 Ag 0.500 0.000 0.250
7 Ag 0.500 0.000 0.750
8 Ag 0.750 0.500 0.000
9 Hg 0.000 0.500 0.250
10 Hg 0.000 0.500 0.750
11 Hg 0.250 0.000 0.500
12 Hg 0.500 0.250 0.000
13 Hg 0.500 0.750 0.000
14 Hg 0.750 0.000 0.500

Record 2
This record from Alexandria describes crystalline Pu2Ag3Hg2 at its relaxed geometry. The functional is PBE.

Lattice parameters (Å, degrees): 10.698 10.698 3.052 90.00 90.00 152.89
Fractional coordinates of all 7 atoms:
1 Pu 0.146 0.854 0.000
2 Pu 0.854 0.146 0.000
3 Ag 0.000 0.000 0.500
4 Ag 0.283 0.717 0.500
5 Ag 0.717 0.283 0.500
6 Hg 0.426 0.574 0.500
7 Hg 0.574 0.426 0.500

Record 3
This record from Alexandria describes crystalline Pu5Ag4Hg2 at its relaxed geometry. The functional is PBE.

Lattice parameters (Å, degrees): 5.981 5.981 7.974 99.21 99.21 61.78
Fractional coordinates of all 11 atoms:
1 Pu 0.000 0.000 0.000
2 Pu 0.171 0.657 0.762
3 Pu 0.343 0.829 0.238
4 Pu 0.657 0.171 0.762
5 Pu 0.829 0.343 0.238
6 Ag 0.308 0.308 0.053
7 Ag 0.361 0.361 0.411
8 Ag 0.639 0.639 0.589
9 Ag 0.692 0.692 0.947
10 Hg 0.142 0.142 0.622
11 Hg 0.858 0.858 0.378

Record 4
This record from Alexandria describes crystalline Pu3Ag4Hg2 at its relaxed geometry. The functional is PBE.

Lattice parameters (Å, degrees): 5.896 5.896 9.042 120.74 120.74 50.89
Fractional coordinates of all 9 atoms:
1 Pu 0.000 0.000 0.000
2 Pu 0.000 0.000 0.333
3 Pu 0.000 0.000 0.667
4 Ag 0.330 0.330 0.057
5 Ag 0.337 0.337 0.386
6 Ag 0.663 0.663 0.614
7 Ag 0.670 0.670 0.943
8 Hg 0.334 0.334 0.722
9 Hg 0.666 0.666 0.278

The following electronic total energy values (in eV per cell) correspond, in order, to the records above: -40.64 -38.15 -82.39 -55.90.